(1)
The following is a PBE-GGA calculation of an optimized crystal structure of Nb2FeTcN, from Alexandria.

Calculated values
energy = -9.814 eV per atom
ρ = 8.58 Mg/m³
formation energy without anion corrections = -0.355 eV/atom

Lattice parameters (Å, degrees): 4.339 4.339 3.637 90.00 90.00 90.00
Space group P4/mmm (No. 123)
Asymmetric unit:
Nb: 0.000 0.500 0.000 (multiplicity 2)
Fe: 0.000 0.000 0.500 (multiplicity 1)
Tc: 0.500 0.500 0.500 (multiplicity 1)
N: 0.000 0.000 0.000 (multiplicity 1)

***

(2)
The following is a PBE-GGA calculation of an optimized crystal structure of NbFeTeN2, from Alexandria.

Calculated values
energy = -6.567 eV per atom
ρ = 6.71 Mg/m³
excess energy over the best structure of this formula in the dataset = 473 meV per atom
formation energy without anion corrections = 1.098 eV/atom

Lattice parameters (Å, degrees): 3.825 3.825 5.148 90.00 90.00 90.00
Space group P4/mmm (No. 123)
Asymmetric unit:
Nb: 0.000 0.000 0.000 (multiplicity 1)
Fe: 0.500 0.500 0.500 (multiplicity 1)
Te: 0.500 0.500 0.000 (multiplicity 1)
N: 0.000 0.500 0.500 (multiplicity 2)

***

(3)
The following is a PBE-GGA calculation of an optimized crystal structure of NbFeTe2N, from Alexandria.

Calculated values
energy = -6.261 eV per atom
ρ = 7.44 Mg/m³
excess energy over the best structure of this formula in the dataset = 0 meV per atom
formation energy without anion corrections = 0.368 eV/atom

Lattice parameters (Å, degrees): 5.221 5.221 3.422 90.00 90.00 90.00
Space group P4/mmm (No. 123)
Asymmetric unit:
Nb: 0.000 0.000 0.000 (multiplicity 1)
Fe: 0.500 0.500 0.500 (multiplicity 1)
Te: 0.000 0.500 0.500 (multiplicity 2)
N: 0.500 0.500 0.000 (multiplicity 1)

***

(4)
The following is a PBE-GGA calculation of an optimized crystal structure of NbFeTe2N, from Alexandria.

Calculated values
energy = -6.080 eV per atom
ρ = 5.79 Mg/m³
excess energy over the best structure of this formula in the dataset = 181 meV per atom
formation energy without anion corrections = 0.549 eV/atom

Lattice parameters (Å, degrees): 5.558 5.558 3.879 90.00 90.00 90.00
Space group P4/mmm (No. 123)
Asymmetric unit:
Nb: 0.000 0.000 0.000 (multiplicity 1)
Fe: 0.500 0.500 0.500 (multiplicity 1)
Te: 0.000 0.500 0.000 (multiplicity 2)
N: 0.000 0.000 0.500 (multiplicity 1)